1.
Density functional theory data (GGA-PBE) for a geometry-optimized Ce3UO8 structure.

Density = 8.05 g/cm3
ΔE_f (raw) = -3.4648 eV per atom
Space group = Pm-3m
VASP energy = -9.194 eV/atom

a b c (Å): 5.4543 5.4543 5.4543
angles (deg): 90.00 90.00 90.00
With the nearest neighbours (Å) after each atom.
Fractional coordinates of all 12 atoms:
Ce (0.0000, 0.0000, 0.5000)  8 O 2.39
Ce (0.0000, 0.5000, 0.0000)  8 O 2.39
Ce (0.5000, 0.0000, 0.0000)  8 O 2.39
U (0.5000, 0.5000, 0.5000)  8 O 2.29
O (0.2573, 0.2573, 0.2573)  1 U 2.29, 3 Ce 2.39
O (0.2573, 0.2573, 0.7427)  1 U 2.29, 3 Ce 2.39
O (0.2573, 0.7427, 0.2573)  1 U 2.29, 3 Ce 2.39
O (0.2573, 0.7427, 0.7427)  1 U 2.29, 3 Ce 2.39
O (0.7427, 0.2573, 0.2573)  1 U 2.29, 3 Ce 2.39
O (0.7427, 0.2573, 0.7427)  1 U 2.29, 3 Ce 2.39
O (0.7427, 0.7427, 0.2573)  1 U 2.29, 3 Ce 2.39
O (0.7427, 0.7427, 0.7427)  1 U 2.29, 3 Ce 2.39


2.
Density functional theory data (GGA-PBE) for a geometry-optimized Ce3UO8 structure.

Density = 8.00 g/cm3
ΔE_f (raw) = -3.4687 eV per atom
Space group = R-3m
VASP energy = -9.198 eV/atom

a b c (Å): 12.7329 12.7329 12.7329
angles (deg): 17.52 17.52 17.52
With the nearest neighbours (Å) after each atom.
Fractional coordinates of all 12 atoms:
Ce (0.0000, 0.0000, 0.0000)  8 O 2.38-2.43
Ce (0.2502, 0.2502, 0.2502)  8 O 2.31-2.49
Ce (0.7498, 0.7498, 0.7498)  8 O 2.31-2.49
U (0.5000, 0.5000, 0.5000)  8 O 2.15-2.33
O (0.0647, 0.0647, 0.0647)  4 Ce 2.34-2.43
O (0.1840, 0.1840, 0.1840)  3 U 2.33, 1 Ce 2.49, 3 O 2.59
O (0.3117, 0.3117, 0.3117)  4 Ce 2.31-2.38
O (0.4430, 0.4430, 0.4430)  1 U 2.15
O (0.5570, 0.5570, 0.5570)  1 U 2.15
O (0.6883, 0.6883, 0.6883)  4 Ce 2.31-2.38
O (0.8160, 0.8160, 0.8160)  3 U 2.33, 1 Ce 2.49, 3 O 2.59
O (0.9353, 0.9353, 0.9353)  4 Ce 2.34-2.43


3.
Density functional theory data (GGA-PBE) for a geometry-optimized Ce2UO6 structure.

Density = 8.35 g/cm3
ΔE_f (raw) = -3.4653 eV per atom
Space group = P-3m1
VASP energy = -9.344 eV/atom

a b c (Å): 3.8793 3.8793 9.3769
angles (deg): 90.00 90.00 120.00
With the nearest neighbours (Å) after each atom.
Fractional coordinates of all 9 atoms:
Ce (0.3333, 0.6667, 0.1663)  8 O 2.36-2.47
Ce (0.6667, 0.3333, 0.8337)  8 O 2.36-2.47
U (0.0000, 0.0000, 0.5000)  8 O 2.17-2.34
O (0.0000, 0.0000, 0.2691)  1 U 2.17
O (0.0000, 0.0000, 0.7309)  1 U 2.17
O (0.3333, 0.6667, 0.4294)  3 U 2.34, 1 Ce 2.47, 3 O 2.60
O (0.3333, 0.6667, 0.9126)  4 Ce 2.36-2.38
O (0.6667, 0.3333, 0.0874)  4 Ce 2.36-2.38
O (0.6667, 0.3333, 0.5706)  3 U 2.34, 1 Ce 2.47, 3 O 2.60


4.
Density functional theory data (GGA-PBE) for a geometry-optimized CeUO4 structure.

Density = 9.07 g/cm3
ΔE_f (raw) = -3.4388 eV per atom
Space group = R-3m
VASP energy = -9.615 eV/atom

a b c (Å): 6.6382 6.6382 6.6382
angles (deg): 33.86 33.86 33.86
With the nearest neighbours (Å) after each atom.
Fractional coordinates of all 6 atoms:
Ce (0.0000, 0.0000, 0.0000)  8 O 2.40-2.43
U (0.5000, 0.5000, 0.5000)  8 O 2.24-2.34
O (0.1298, 0.1298, 0.1298)  3 U 2.34, 1 Ce 2.43
O (0.3807, 0.3807, 0.3807)  1 U 2.24, 3 Ce 2.40
O (0.6193, 0.6193, 0.6193)  1 U 2.24, 3 Ce 2.40
O (0.8702, 0.8702, 0.8702)  3 U 2.34, 1 Ce 2.43


5.
Density functional theory data (GGA-PBE) for a geometry-optimized Ce6UO12 structure.

Density = 7.06 g/cm3
ΔE_f (raw) = -3.4436 eV per atom
Space group = R-3
VASP energy = -9.043 eV/atom

a b c (Å): 6.7816 6.7816 6.7816
angles (deg): 99.09 99.09 99.09
With the nearest neighbours (Å) after each atom.
Fractional coordinates of all 19 atoms:
Ce (0.1029, 0.6402, 0.8031)  6 O 2.30-2.46
Ce (0.1969, 0.8971, 0.3598)  6 O 2.30-2.46
Ce (0.3598, 0.1969, 0.8971)  6 O 2.30-2.46
Ce (0.6402, 0.8031, 0.1029)  6 O 2.30-2.46
Ce (0.8031, 0.1029, 0.6402)  6 O 2.30-2.46
Ce (0.8971, 0.3598, 0.1969)  6 O 2.30-2.46
U (0.5000, 0.5000, 0.5000)  6 O 2.20
O (0.0658, 0.3227, 0.9127)  4 Ce 2.30-2.46
O (0.0873, 0.9342, 0.6773)  4 Ce 2.30-2.46
O (0.1894, 0.5579, 0.4302)  1 U 2.20, 2 Ce 2.39-2.42
O (0.3227, 0.9127, 0.0658)  4 Ce 2.30-2.46
O (0.4302, 0.1894, 0.5579)  1 U 2.20, 2 Ce 2.39-2.42
O (0.4421, 0.5698, 0.8106)  1 U 2.20, 2 Ce 2.39-2.42
O (0.5579, 0.4302, 0.1894)  1 U 2.20, 2 Ce 2.39-2.42
O (0.5698, 0.8106, 0.4421)  1 U 2.20, 2 Ce 2.39-2.42
O (0.6773, 0.0873, 0.9342)  4 Ce 2.30-2.46
O (0.8106, 0.4421, 0.5698)  1 U 2.20, 2 Ce 2.39-2.42
O (0.9127, 0.0658, 0.3227)  4 Ce 2.30-2.46
O (0.9342, 0.6773, 0.0873)  4 Ce 2.30-2.46


6.
Density functional theory data (GGA-PBE) for a geometry-optimized CeU2O7 structure.

Density = 9.05 g/cm3
ΔE_f (raw) = -3.2661 eV per atom
Space group = R-3m
VASP energy = -9.588 eV/atom

a b c (Å): 10.6662 10.6662 10.6662
angles (deg): 20.77 20.77 20.77
With the nearest neighbours (Å) after each atom.
Fractional coordinates of all 10 atoms:
Ce (0.0000, 0.0000, 0.0000)  8 O 2.39-2.41
U (0.4336, 0.4336, 0.4336)  5 O 2.08-2.26
U (0.5664, 0.5664, 0.5664)  5 O 2.08-2.26
O (0.0769, 0.0769, 0.0769)  3 U 2.34, 1 Ce 2.41, 3 O 2.50
O (0.2195, 0.2195, 0.2195)  3 U 2.26, 3 O 2.50
O (0.3616, 0.3616, 0.3616)  1 U 2.26, 3 Ce 2.39
O (0.5000, 0.5000, 0.5000)  2 U 2.08
O (0.6384, 0.6384, 0.6384)  1 U 2.26, 3 Ce 2.39
O (0.7805, 0.7805, 0.7805)  3 U 2.26, 3 O 2.50
O (0.9231, 0.9231, 0.9231)  3 U 2.34, 1 Ce 2.41, 3 O 2.50


7.
Density functional theory data (GGA-PBE) for a geometry-optimized Ce4UO10 structure.

Density = 7.84 g/cm3
ΔE_f (raw) = -3.4581 eV per atom
Space group = I4/mmm
VASP energy = -9.098 eV/atom

a b c (Å): 13.9600 13.9600 13.9600
angles (deg): 164.14 164.14 22.50
With the nearest neighbours (Å) after each atom.
Fractional coordinates of all 15 atoms:
Ce (0.1017, 0.1017, 0.0000)  8 O 2.32-2.44
Ce (0.2996, 0.2996, 0.0000)  8 O 2.36-2.39
Ce (0.7004, 0.7004, 0.0000)  8 O 2.36-2.39
Ce (0.8983, 0.8983, 0.0000)  8 O 2.32-2.44
U (0.5000, 0.5000, 0.0000)  8 O 2.31
O (0.0467, 0.5467, 0.5000)  2 U 2.31, 2 Ce 2.44, 1 O 2.56
O (0.1490, 0.6490, 0.5000)  4 Ce 2.32-2.39
O (0.2500, 0.7500, 0.5000)  4 Ce 2.36
O (0.3510, 0.8510, 0.5000)  4 Ce 2.32-2.39
O (0.4533, 0.9533, 0.5000)  2 U 2.31, 2 Ce 2.44, 1 O 2.56
O (0.5467, 0.0467, 0.5000)  2 U 2.31, 2 Ce 2.44, 1 O 2.56
O (0.6490, 0.1490, 0.5000)  4 Ce 2.32-2.39
O (0.7500, 0.2500, 0.5000)  4 Ce 2.36
O (0.8510, 0.3510, 0.5000)  4 Ce 2.32-2.39
O (0.9533, 0.4533, 0.5000)  2 U 2.31, 2 Ce 2.44, 1 O 2.56


8.
Density functional theory data (GGA-PBE) for a geometry-optimized CeU5O12 structure.

Density = 10.53 g/cm3
ΔE_f (raw) = -3.3411 eV per atom
Space group = C2/m
VASP energy = -10.112 eV/atom

a b c (Å): 6.6483 6.6483 6.6515
angles (deg): 99.59 99.59 120.00
With the nearest neighbours (Å) after each atom.
Fractional coordinates of all 18 atoms:
Ce (0.0000, 0.0000, 0.0000)  8 O 2.40-2.41
U (0.1667, 0.8333, 0.5000)  8 O 2.32-2.35
U (0.3333, 0.6667, 0.0000)  8 O 2.33-2.36
U (0.5000, 0.5000, 0.5000)  8 O 2.32-2.35
U (0.6667, 0.3333, 0.0000)  8 O 2.33-2.36
U (0.8333, 0.1667, 0.5000)  8 O 2.32-2.35
O (0.0423, 0.7022, 0.1294)  3 U 2.32-2.34, 1 Ce 2.40
O (0.1299, 0.1299, 0.3844)  3 U 2.32-2.34, 1 Ce 2.41
O (0.2076, 0.5428, 0.6232)  4 U 2.33-2.36
O (0.2978, 0.9577, 0.8706)  3 U 2.32-2.34, 1 Ce 2.40
O (0.3848, 0.3848, 0.1299)  3 U 2.32-2.34, 1 Ce 2.41
O (0.4572, 0.7924, 0.3768)  4 U 2.33-2.36
O (0.5428, 0.2076, 0.6232)  4 U 2.33-2.36
O (0.6152, 0.6152, 0.8701)  3 U 2.32-2.34, 1 Ce 2.41
O (0.7022, 0.0423, 0.1294)  3 U 2.32-2.34, 1 Ce 2.40
O (0.7924, 0.4572, 0.3768)  4 U 2.33-2.36
O (0.8701, 0.8701, 0.6156)  3 U 2.32-2.34, 1 Ce 2.41
O (0.9577, 0.2978, 0.8706)  3 U 2.32-2.34, 1 Ce 2.40